1.
Computed, not measured: a relaxed Zr5Ni2Ir crystal at the PBE-GGA level of DFT.

Unit cell a=6.595 b=6.595 c=13.926 alpha=90.00 beta=90.00 gamma=90.00
Space group I4/mcm (No. 140)
Asymmetric unit:
1 Zr 0.000 0.000 0.000
2 Zr 0.170 0.330 0.150
3 Ni 0.128 0.372 0.500
4 Ir 0.000 0.000 0.250

Calculated values
Final energy (eV per atom): -8.36
Total moment (μB/atom): 0.00
E_form (eV/atom): -0.462
DOS at the Fermi energy (states/eV/cell): 38.58

---

2.
Computed, not measured: a relaxed KTaAg2 crystal at the PBE-GGA level of DFT.

Unit cell a=3.121 b=3.121 c=9.085 alpha=90.00 beta=90.00 gamma=90.00
Space group P4/mmm (No. 123)
Asymmetric unit:
1 K 0.000 0.000 0.000
2 Ta 0.000 0.000 0.500
3 Ag 0.500 0.500 0.296

Calculated values
Final energy (eV per atom): -4.18
Energy relative to the lowest polymorph listed for this composition (eV per formula unit): 0.00
Total moment (μB/atom): 0.00
E_form (eV/atom): 0.479
DOS at the Fermi energy (states/eV/cell): 2.87

---

3.
Computed, not measured: a relaxed KSr2 crystal at the PBE-GGA level of DFT.

Unit cell a=4.232 b=4.232 c=19.857 alpha=90.00 beta=90.00 gamma=90.00
Space group I4/mmm (No. 139)
Asymmetric unit:
1 K 0.000 0.000 0.000
2 Sr 0.000 0.000 0.326

Calculated values
Final energy (eV per atom): -1.42
Total moment (μB/atom): 0.00
E_form (eV/atom): 0.071
DOS at the Fermi energy (states/eV/cell): 6.12

---

4.
Computed, not measured: a relaxed Li2MnZn8 crystal at the PBE-GGA level of DFT.

Unit cell a=13.825 b=4.019 c=5.886 alpha=90.00 beta=102.67 gamma=90.00
Space group C2/m (No. 12)
Asymmetric unit:
1 Li 0.230 0.000 0.143
2 Mn 0.000 0.500 0.500
3 Zn 0.038 0.000 0.228
4 Zn 0.090 0.500 0.949
5 Zn 0.139 0.000 0.662
6 Zn 0.178 0.500 0.389

Calculated values
Final energy (eV per atom): -2.19
Total moment (μB/atom): 0.26
E_form (eV/atom): -0.082
DOS at the Fermi energy (states/eV/cell): 7.05

---

5.
Computed, not measured: a relaxed ReAg2Pt crystal at the PBE-GGA level of DFT.

Unit cell a=3.811 b=3.811 c=4.554 alpha=90.00 beta=90.00 gamma=90.00
Space group P4/mmm (No. 123)
Asymmetric unit:
1 Re 0.000 0.000 0.000
2 Ag 0.000 0.500 0.500
3 Pt 0.500 0.500 0.000

Calculated values
Final energy (eV per atom): -5.38
Energy relative to the lowest polymorph listed for this composition (eV per formula unit): 1.96
Total moment (μB/atom): 0.00
E_form (eV/atom): 0.670
DOS at the Fermi energy (states/eV/cell): 4.06

---

6.
Computed, not measured: a relaxed Li3Mg5Cd4 crystal at the PBE-GGA level of DFT.

Unit cell a=5.809 b=6.004 c=7.528 alpha=103.78 beta=97.71 gamma=102.70
Space group P-1 (No. 2)
Asymmetric unit:
1 Li 0.000 0.000 0.000
2 Li 0.170 0.311 0.662
3 Mg 0.000 0.500 0.000
4 Mg 0.309 0.013 0.340
5 Mg 0.484 0.248 0.997
6 Cd 0.169 0.819 0.686
7 Cd 0.318 0.521 0.345

Calculated values
Final energy (eV per atom): -1.58
Total moment (μB/atom): 0.00
E_form (eV/atom): -0.130
DOS at the Fermi energy (states/eV/cell): 3.47